[1]
A plane-wave DFT calculation with PBE was carried out for a geometry-optimized MgMoSeN2 structure.

POSCAR file:
```
MgMoSeN2
1.0
-2.358 -3.022 0.452
0.814 -1.172 -3.586
3.774 -2.686 1.734
N Mo Mg Se
2 1 1 1
Direct
0.000 0.500 0.000
0.500 0.000 0.000
0.500 0.500 0.500
0.000 0.000 0.000
0.000 0.000 0.500
```

Calculated values
Uncorrected formation energy (eV per atom): 1.561
E above lowest polymorph (meV per atom): 1542
SG: P4/mmm (123)
Crystal system: tetragonal

=====

[2]
A plane-wave DFT calculation with PBE was carried out for a geometry-optimized MgMoSe2N structure.

POSCAR file:
```
MgMoSe2N
1.0
-4.344 0.145 -2.682
-0.636 -5.011 0.758
-1.970 0.739 3.231
N Mg Se Mo
1 1 2 1
Direct
0.000 0.000 0.500
0.000 0.000 0.000
0.500 0.000 0.000
0.000 0.500 0.000
0.500 0.500 0.500
```

Calculated values
Uncorrected formation energy (eV per atom): 0.960
E above lowest polymorph (meV per atom): 1074
SG: P4/mmm (123)
Crystal system: tetragonal

=====

[3]
A plane-wave DFT calculation with PBE was carried out for a geometry-optimized Mg2SnMoN4 structure.

POSCAR file:
```
Mg2SnMoN4
1.0
-0.739 5.030 0.223
-2.453 -0.674 -4.407
-2.266 -2.845 4.344
Mg N Mo Sn
2 4 1 1
Direct
0.251 0.751 0.502
0.751 0.251 0.502
0.603 0.603 0.745
0.815 0.421 0.236
0.141 0.141 0.745
0.421 0.815 0.236
0.496 0.496 0.991
0.022 0.022 0.044
```

Calculated values
Uncorrected formation energy (eV per atom): -0.389
SG: Fmm2 (42)
Crystal system: orthorhombic

=====

[4]
A plane-wave DFT calculation with PBE was carried out for a geometry-optimized Mg2SnMoN structure.

POSCAR file:
```
Mg2SnMoN
1.0
-1.359 0.456 -3.823
4.031 -2.715 -1.756
-2.164 -3.444 0.358
N Mg Sn Mo
1 2 1 1
Direct
0.000 0.000 0.000
0.000 0.000 0.500
0.500 0.000 0.000
0.000 0.500 0.000
0.500 0.500 0.500
```

Calculated values
Uncorrected formation energy (eV per atom): 0.250
SG: P4/mmm (123)
Crystal system: tetragonal